(1)
Compound: Li3Se2
Source: the Alexandria database
Functional: PBE
Structure: optimized geometry

Results
As for the density of states at the Fermi level: 2.63 states/eV/cell. As for the symmetry: R-3c, No. 167. Its total DFT energy (no corrections) is -35.8 eV/cell. The value obtained for the spin magnetization is 0.000 μB/atom. The calculation puts the uncorrected formation energy at -503 kJ/mol of formula units.

a b c (Å): 5.886 5.886 5.886
angles (deg): 74.21 74.21 74.21
Fractional coordinates of all 10 atoms:
Li 0.043 0.750 0.457
Li 0.250 0.543 0.957
Li 0.457 0.043 0.750
Li 0.543 0.957 0.250
Li 0.750 0.457 0.043
Li 0.957 0.250 0.543
Se 0.123 0.123 0.123
Se 0.377 0.377 0.377
Se 0.623 0.623 0.623
Se 0.877 0.877 0.877


(2)
Compound: LiSe2
Source: the Alexandria database
Functional: PBE
Structure: optimized geometry

Results
As for the density of states at the Fermi level: 2.02 states/eV/cell. As for the symmetry: C2/m, No. 12. Its total DFT energy (no corrections) is -20.7 eV/cell. The value obtained for the spin magnetization is 0.000 μB/atom. The calculation puts the uncorrected formation energy at -141 kJ/mol of formula units.

a b c (Å): 6.781 6.781 5.716
angles (deg): 111.97 111.97 33.32
Fractional coordinates of all 6 atoms:
Li 0.092 0.092 0.257
Li 0.908 0.908 0.743
Se 0.327 0.327 0.394
Se 0.413 0.413 0.109
Se 0.587 0.587 0.891
Se 0.673 0.673 0.606


(3)
Compound: Li3Se
Source: the Alexandria database
Functional: PBE
Structure: optimized geometry

Results
As for the density of states at the Fermi level: 2.13 states/eV/cell. As for the symmetry: R-3m, No. 166. Its total DFT energy (no corrections) is -11.1 eV/cell. The value obtained for the spin magnetization is 0.042 μB/atom. The calculation puts the uncorrected formation energy at -180 kJ/mol of formula units.

a b c (Å): 4.891 4.891 4.891
angles (deg): 113.61 113.61 113.61
Fractional coordinates of all 4 atoms:
Li 0.000 0.500 0.500
Li 0.500 0.000 0.500
Li 0.500 0.500 0.000
Se 0.000 0.000 0.000


(4)
Compound: LiSe2
Source: the Alexandria database
Functional: PBE
Structure: optimized geometry

Results
As for the density of states at the Fermi level: 2.31 states/eV/cell. As for the symmetry: Cmcm, No. 63. Its total DFT energy (no corrections) is -20.5 eV/cell. The value obtained for the spin magnetization is 0.000 μB/atom. The calculation puts the uncorrected formation energy at -131 kJ/mol of formula units.

a b c (Å): 8.048 8.048 4.341
angles (deg): 90.00 90.00 152.74
Fractional coordinates of all 6 atoms:
Li 0.124 0.876 0.750
Li 0.876 0.124 0.250
Se 0.251 0.749 0.250
Se 0.464 0.536 0.750
Se 0.536 0.464 0.250
Se 0.749 0.251 0.750


(5)
Compound: Li2Se
Source: the Alexandria database
Functional: PBE
Structure: optimized geometry

Results
As for the density of states at the Fermi level: 0.22 states/eV/cell. As for the symmetry: P4/mmm, No. 123. Its total DFT energy (no corrections) is -10.2 eV/cell. The value obtained for the spin magnetization is 0.000 μB/atom. The calculation puts the uncorrected formation energy at -278 kJ/mol of formula units.

a b c (Å): 4.096 4.096 3.523
angles (deg): 90.00 90.00 90.00
Fractional coordinates of all 3 atoms:
Li 0.000 0.500 0.000
Li 0.500 0.000 0.000
Se 0.000 0.000 0.500


(6)
Compound: Li2SiSe3
Source: the Alexandria database
Functional: PBE
Structure: optimized geometry

Results
As for the density of states at the Fermi level: 0.00 states/eV/cell. As for the symmetry: Cmc2_1, No. 36. Its total DFT energy (no corrections) is -49.9 eV/cell. The value obtained for the spin magnetization is 0.000 μB/atom. The calculation puts the uncorrected formation energy at -506 kJ/mol of formula units.

a b c (Å): 7.132 7.132 6.407
angles (deg): 90.00 90.00 60.47
Fractional coordinates of all 12 atoms:
Li 0.012 0.317 0.000
Li 0.317 0.012 0.500
Li 0.683 0.988 0.000
Li 0.988 0.683 0.500
Si 0.337 0.663 0.985
Si 0.663 0.337 0.485
Se 0.038 0.654 0.896
Se 0.346 0.962 0.896
Se 0.354 0.646 0.360
Se 0.646 0.354 0.860
Se 0.654 0.038 0.396
Se 0.962 0.346 0.396


(7)
Compound: LiSi3Se
Source: the Alexandria database
Functional: PBE
Structure: optimized geometry

Results
As for the density of states at the Fermi level: 2.96 states/eV/cell. As for the symmetry: Pm-3m, No. 221. Its total DFT energy (no corrections) is -17.7 eV/cell. The value obtained for the spin magnetization is 0.000 μB/atom. The calculation puts the uncorrected formation energy at 386 kJ/mol of formula units.

a b c (Å): 4.494 4.494 4.494
angles (deg): 90.00 90.00 90.00
Fractional coordinates of all 5 atoms:
Li 0.000 0.000 0.000
Si 0.000 0.000 0.500
Si 0.000 0.500 0.000
Si 0.500 0.000 0.000
Se 0.500 0.500 0.500


(8)
Compound: Li4SiSe4
Source: the Alexandria database
Functional: PBE
Structure: optimized geometry

Results
As for the density of states at the Fermi level: 0.00 states/eV/cell. As for the symmetry: I-42m, No. 121. Its total DFT energy (no corrections) is -35.8 eV/cell. The value obtained for the spin magnetization is 0.000 μB/atom. The calculation puts the uncorrected formation energy at -847 kJ/mol of formula units.

a b c (Å): 7.003 7.003 7.003
angles (deg): 127.57 127.57 77.33
Fractional coordinates of all 9 atoms:
Li 0.000 0.500 0.500
Li 0.209 0.209 0.000
Li 0.500 0.000 0.500
Li 0.791 0.791 0.000
Si 0.500 0.500 0.000
Se 0.164 0.585 0.000
Se 0.415 0.415 0.580
Se 0.585 0.164 0.000
Se 0.836 0.836 0.420


Which value of spin magnetization does entry 3 give?
0.042 μB/atom